Entry 1:
# Ac4BiSe2N

Ac4BiSe2N after structural relaxation (PBE, Alexandria via LeMat-Bulk).

The structure in CIF format:
```
data_Ac4BiSe2N
_chemical_formula_sum 'Ac16 Bi4 Se8 N4'
_symmetry_space_group_name_H-M 'C m c m'
_symmetry_Int_Tables_number 63
_symmetry_space_group_name_Hall '-C 2c 2'
_cell_length_a 4.448
_cell_length_b 14.930
_cell_length_c 15.855
_cell_angle_alpha 90.00
_cell_angle_beta 90.00
_cell_angle_gamma 90.00
loop_
_atom_site_label
_atom_site_type_symbol
_atom_site_fract_x
_atom_site_fract_y
_atom_site_fract_z
_atom_site_occupancy
Ac1 Ac 0.000 0.000 0.000 1
Ac2 Ac 0.000 0.270 0.130 1
Ac3 Ac 0.000 0.416 0.750 1
Bi1 Bi 0.000 0.098 0.750 1
Se1 Se 0.000 0.363 0.557 1
N1 N 0.000 0.172 0.250 1
```

Computed properties:
As for the formation energy without anion corrections: -1.445 eV/atom. The calculation puts the total DFT energy (no corrections) at -5.90 eV per atom.

***

Entry 2:
# NdDy4Ho3

NdDy4Ho3 after structural relaxation (PBE, Alexandria via LeMat-Bulk).

The structure in CIF format:
```
data_NdDy4Ho3
_chemical_formula_sum 'Nd2 Dy8 Ho6'
_symmetry_space_group_name_H-M 'P m n 21'
_symmetry_Int_Tables_number 31
_cell_length_a 11.281
_cell_length_b 7.267
_cell_length_c 6.278
_cell_angle_alpha 90.00
_cell_angle_beta 90.00
_cell_angle_gamma 90.00
loop_
_symmetry_equiv_pos_as_xyz
'x,y,z'
'-x+1/2,-y,z+1/2'
'-x,y,z'
'x+1/2,-y,z+1/2'
loop_
_atom_site_label
_atom_site_type_symbol
_atom_site_fract_x
_atom_site_fract_y
_atom_site_fract_z
_atom_site_occupancy
Nd1 Nd 0.000 0.126 0.000 1
Dy1 Dy 0.000 0.376 0.501 1
Dy2 Dy 0.000 0.625 0.999 1
Dy3 Dy 0.248 0.624 0.334 1
Ho1 Ho 0.000 0.874 0.500 1
Ho2 Ho 0.250 0.126 0.333 1
```

Computed properties:
Its distance to the lowest polymorph of the same formula is 0.000 eV per atom. The calculation puts the total DFT energy (no corrections) at -4.60 eV per atom.

***

Entry 3:
# KCdIn

KCdIn after structural relaxation (PBE, Alexandria via LeMat-Bulk).

The structure in CIF format:
```
data_KCdIn
_chemical_formula_sum 'K1 Cd1 In1'
_symmetry_space_group_name_H-M 'P -6 m 2'
_symmetry_Int_Tables_number 187
_symmetry_space_group_name_Hall 'P -6 2'
_cell_length_a 5.4151
_cell_length_b 5.4151
_cell_length_c 3.7270
_cell_angle_alpha 90.00
_cell_angle_beta 90.00
_cell_angle_gamma 120.00
loop_
_atom_site_label
_atom_site_type_symbol
_atom_site_fract_x
_atom_site_fract_y
_atom_site_fract_z
_atom_site_occupancy
K1 K 0.0000 0.0000 0.0000 1
Cd1 Cd 0.6667 0.3333 0.5000 1
In1 In 0.3333 0.6667 0.5000 1
```

Computed properties:
Its distance to the lowest polymorph of the same formula is 0.061 eV per atom. The calculation puts the total DFT energy (no corrections) at -1.65 eV per atom.

***

Entry 4:
# PrNdScZn

PrNdScZn after structural relaxation (PBE, Alexandria via LeMat-Bulk).

The structure in CIF format:
```
data_PrNdScZn
_chemical_formula_sum 'Pr4 Nd4 Sc4 Zn4'
_symmetry_space_group_name_H-M 'F -4 3 m'
_symmetry_Int_Tables_number 216
_symmetry_space_group_name_Hall 'F -4 2 3'
_cell_length_a 7.581
_cell_length_b 7.581
_cell_length_c 7.581
_cell_angle_alpha 90.00
_cell_angle_beta 90.00
_cell_angle_gamma 90.00
loop_
_atom_site_label
_atom_site_type_symbol
_atom_site_fract_x
_atom_site_fract_y
_atom_site_fract_z
_atom_site_occupancy
Pr1 Pr 0.000 0.000 0.000 1
Nd1 Nd 0.000 0.000 0.500 1
Sc1 Sc 0.250 0.250 0.250 1
Zn1 Zn 0.250 0.250 0.750 1
```

Computed properties:
The calculation puts the total DFT energy (no corrections) at -4.30 eV per atom.

***

Entry 5:
# NiMoC3

NiMoC3 after structural relaxation (PBE, Alexandria via LeMat-Bulk).

The structure in CIF format:
```
data_NiMoC3
_chemical_formula_sum 'Ni1 Mo1 C3'
_symmetry_space_group_name_H-M 'P m -3 m'
_symmetry_Int_Tables_number 221
_symmetry_space_group_name_Hall '-P 4 2 3'
_cell_length_a 3.679
_cell_length_b 3.679
_cell_length_c 3.679
_cell_angle_alpha 90.00
_cell_angle_beta 90.00
_cell_angle_gamma 90.00
loop_
_atom_site_label
_atom_site_type_symbol
_atom_site_fract_x
_atom_site_fract_y
_atom_site_fract_z
_atom_site_occupancy
Ni1 Ni 0.000 0.000 0.000 1
Mo1 Mo 0.500 0.500 0.500 1
C1 C 0.000 0.000 0.500 1
```

Computed properties:
The calculation puts the total DFT energy (no corrections) at -6.65 eV per atom.

***

Entry 6:
# Ba2LiNd

Ba2LiNd after structural relaxation (PBE, Alexandria via LeMat-Bulk).

The structure in CIF format:
```
data_Ba2LiNd
_chemical_formula_sum 'Ba2 Li1 Nd1'
_symmetry_space_group_name_H-M 'P 4/m m m'
_symmetry_Int_Tables_number 123
_symmetry_space_group_name_Hall '-P 4 2'
_cell_length_a 4.145
_cell_length_b 4.145
_cell_length_c 10.127
_cell_angle_alpha 90.00
_cell_angle_beta 90.00
_cell_angle_gamma 90.00
loop_
_atom_site_label
_atom_site_type_symbol
_atom_site_fract_x
_atom_site_fract_y
_atom_site_fract_z
_atom_site_occupancy
Ba1 Ba 0.000 0.000 0.227 1
Li1 Li 0.500 0.500 0.000 1
Nd1 Nd 0.500 0.500 0.500 1
```

Computed properties:
Its distance to the lowest polymorph of the same formula is 0.000 eV per atom. The calculation puts the total DFT energy (no corrections) at -2.47 eV per atom.

***

Entry 7:
# Ca3GaSn12

Ca3GaSn12 after structural relaxation (PBE, Alexandria via LeMat-Bulk).

The structure in CIF format:
```
data_Ca3GaSn12
_chemical_formula_sum 'Ca3 Ga1 Sn12'
_symmetry_space_group_name_H-M 'P 4/m m m'
_symmetry_Int_Tables_number 123
_symmetry_space_group_name_Hall '-P 4 2'
_cell_length_a 4.734
_cell_length_b 4.734
_cell_length_c 19.150
_cell_angle_alpha 90.00
_cell_angle_beta 90.00
_cell_angle_gamma 90.00
loop_
_atom_site_label
_atom_site_type_symbol
_atom_site_fract_x
_atom_site_fract_y
_atom_site_fract_z
_atom_site_occupancy
Ca1 Ca 0.000 0.000 0.000 1
Ca2 Ca 0.000 0.000 0.248 1
Ga1 Ga 0.000 0.000 0.500 1
Sn1 Sn 0.000 0.500 0.126 1
Sn2 Sn 0.000 0.500 0.379 1
Sn3 Sn 0.500 0.500 0.000 1
Sn4 Sn 0.500 0.500 0.255 1
Sn5 Sn 0.500 0.500 0.500 1
```

Computed properties:
The calculation puts the total DFT energy (no corrections) at -3.83 eV per atom.

***

Entry 8:
# CsH24RhS2O20

CsH24RhS2O20 after structural relaxation (PBE, Alexandria via LeMat-Bulk).

The structure in CIF format:
```
data_CsH24RhS2O20
_chemical_formula_sum 'Cs4 H96 Rh4 S8 O80'
_symmetry_space_group_name_H-M 'P a -3'
_symmetry_Int_Tables_number 205
_symmetry_space_group_name_Hall '-P 2ac 2ab 3'
_cell_length_a 12.505
_cell_length_b 12.505
_cell_length_c 12.505
_cell_angle_alpha 90.00
_cell_angle_beta 90.00
_cell_angle_gamma 90.00
loop_
_atom_site_label
_atom_site_type_symbol
_atom_site_fract_x
_atom_site_fract_y
_atom_site_fract_z
_atom_site_occupancy
Cs1 Cs 0.000 0.000 0.000 1
H1 H 0.006 0.208 0.776 1
H2 H 0.022 0.556 0.792 1
H3 H 0.036 0.075 0.308 1
H4 H 0.117 0.680 0.721 1
Rh1 Rh 0.000 0.000 0.500 1
S1 S 0.191 0.191 0.191 1
O1 O 0.001 0.510 0.164 1
O2 O 0.045 0.648 0.712 1
O3 O 0.083 0.182 0.241 1
O4 O 0.239 0.739 0.761 1
```

Computed properties:
The calculation puts the total DFT energy (no corrections) at -5.23 eV per atom.

***

Entry 9:
# BaNbO3

BaNbO3 after structural relaxation (PBE, Alexandria via LeMat-Bulk).

The structure in CIF format:
```
data_BaNbO3
_chemical_formula_sum 'Ba8 Nb8 O24'
_symmetry_space_group_name_H-M 'C 1 2/c 1'
_symmetry_Int_Tables_number 15
_cell_length_a 9.121
_cell_length_b 11.976
_cell_length_c 7.593
_cell_angle_alpha 90.00
_cell_angle_beta 114.91
_cell_angle_gamma 90.00
loop_
_symmetry_equiv_pos_as_xyz
'x,y,z'
'-x,-y,-z'
'-x,y,-z+1/2'
'x,-y,z+1/2'
'x+1/2,y+1/2,z'
'-x+1/2,-y+1/2,-z'
'-x+1/2,y+1/2,-z+1/2'
'x+1/2,-y+1/2,z+1/2'
loop_
_atom_site_label
_atom_site_type_symbol
_atom_site_fract_x
_atom_site_fract_y
_atom_site_fract_z
_atom_site_occupancy
Ba1 Ba 0.000 0.101 0.250 1
Ba2 Ba 0.000 0.234 0.750 1
Nb1 Nb 0.129 0.424 0.191 1
O1 O 0.106 0.494 0.933 1
O2 O 0.136 0.272 0.129 1
O3 O 0.140 0.069 0.647 1
```

Computed properties:
As for the formation energy without anion corrections: -2.590 eV/atom. The calculation puts the total DFT energy (no corrections) at -7.96 eV per atom.

***

Entry 10:
# TaCrNi2

TaCrNi2 after structural relaxation (PBE, Alexandria via LeMat-Bulk).

The structure in CIF format:
```
data_TaCrNi2
_chemical_formula_sum 'Ta1 Cr1 Ni2'
_symmetry_space_group_name_H-M 'P 4/m m m'
_symmetry_Int_Tables_number 123
_symmetry_space_group_name_Hall '-P 4 2'
_cell_length_a 3.677
_cell_length_b 3.677
_cell_length_c 3.803
_cell_angle_alpha 90.00
_cell_angle_beta 90.00
_cell_angle_gamma 90.00
loop_
_atom_site_label
_atom_site_type_symbol
_atom_site_fract_x
_atom_site_fract_y
_atom_site_fract_z
_atom_site_occupancy
Ta1 Ta 0.000 0.000 0.000 1
Cr1 Cr 0.500 0.500 0.000 1
Ni1 Ni 0.000 0.500 0.500 1
```

Computed properties:
Its distance to the lowest polymorph of the same formula is 0.000 eV per atom. The calculation puts the total DFT energy (no corrections) at -8.36 eV per atom.

***

Entry 11:
# Ag2GeBr5

Ag2GeBr5 after structural relaxation (PBE, Alexandria via LeMat-Bulk).

The structure in CIF format:
```
data_Ag2GeBr5
_chemical_formula_sum 'Ag4 Ge2 Br10'
_symmetry_space_group_name_H-M 'I 4 m m'
_symmetry_Int_Tables_number 107
_symmetry_space_group_name_Hall 'I 4 -2'
_cell_length_a 7.650
_cell_length_b 7.650
_cell_length_c 12.043
_cell_angle_alpha 90.00
_cell_angle_beta 90.00
_cell_angle_gamma 90.00
loop_
_atom_site_label
_atom_site_type_symbol
_atom_site_fract_x
_atom_site_fract_y
_atom_site_fract_z
_atom_site_occupancy
Ag1 Ag 0.000 0.500 0.000 1
Ge1 Ge 0.000 0.000 0.046 1
Br1 Br 0.000 0.000 0.244 1
Br2 Br 0.250 0.250 0.003 1
```

Computed properties:
As for the formation energy without anion corrections: -0.321 eV/atom. The calculation puts the total DFT energy (no corrections) at -2.66 eV per atom.

***

Entry 12:
# ZrCd2Re

ZrCd2Re after structural relaxation (PBE, Alexandria via LeMat-Bulk).

The structure in CIF format:
```
data_ZrCd2Re
_chemical_formula_sum 'Zr2 Cd4 Re2'
_symmetry_space_group_name_H-M 'I -4 m 2'
_symmetry_Int_Tables_number 119
_symmetry_space_group_name_Hall 'I -4 -2'
_cell_length_a 4.288
_cell_length_b 4.288
_cell_length_c 8.344
_cell_angle_alpha 90.00
_cell_angle_beta 90.00
_cell_angle_gamma 90.00
loop_
_atom_site_label
_atom_site_type_symbol
_atom_site_fract_x
_atom_site_fract_y
_atom_site_fract_z
_atom_site_occupancy
Zr1 Zr 0.000 0.000 0.000 1
Cd1 Cd 0.000 0.000 0.500 1
Cd2 Cd 0.000 0.500 0.750 1
Re1 Re 0.000 0.500 0.250 1
```

Computed properties:
Its distance to the lowest polymorph of the same formula is 0.159 eV per atom. The calculation puts the total DFT energy (no corrections) at -5.39 eV per atom.